[1]
K2SiPt2 | GGA-PBE | optimized geometry

Lattice parameters (Å, degrees): 10.896 10.896 10.896 160.76 160.76 27.34
Positions (direct):
K (0.115, 0.115, 0.000)
K (0.885, 0.885, 0.000)
Si (0.500, 0.500, 0.000)
Pt (0.250, 0.750, 0.500)
Pt (0.750, 0.250, 0.500)

Summary:
- E_form (uncorrected) (eV per atom) = 0.340
- volume (Å³/cell) = 140.4
- total magnetization (μB/cell) = 0.8
- E above lowest polymorph (eV per formula unit) = 3.68
- space-group type = No. 139

[2]
K2SiPt | GGA-PBE | optimized geometry

Lattice parameters (Å, degrees): 5.120 5.120 5.120 60.00 60.00 60.00
Positions (direct):
K (0.000, 0.000, 0.000)
K (0.250, 0.250, 0.250)
Si (0.500, 0.500, 0.500)
Pt (0.750, 0.750, 0.750)

Summary:
- E_form (uncorrected) (eV per atom) = 0.377
- volume (Å³/cell) = 94.9
- total magnetization (μB/cell) = 0.0
- space-group type = No. 216

[3]
KSi3Pt | GGA-PBE | optimized geometry

Lattice parameters (Å, degrees): 5.035 5.035 5.035 90.00 90.00 90.00
Positions (direct):
K (0.000, 0.000, 0.000)
Si (0.000, 0.000, 0.500)
Si (0.000, 0.500, 0.000)
Si (0.500, 0.000, 0.000)
Pt (0.500, 0.500, 0.500)

Summary:
- E_form (uncorrected) (eV per atom) = 2.399
- volume (Å³/cell) = 127.7
- total magnetization (μB/cell) = 0.0
- E above lowest polymorph (eV per formula unit) = 9.60
- space-group type = No. 221

[4]
K2SiPt | GGA-PBE | optimized geometry

Lattice parameters (Å, degrees): 2.986 2.986 10.490 90.00 90.00 90.00
Positions (direct):
K (0.000, 0.000, 0.237)
K (0.000, 0.000, 0.763)
Si (0.500, 0.500, 0.500)
Pt (0.500, 0.500, 0.000)

Summary:
- E_form (uncorrected) (eV per atom) = 0.397
- volume (Å³/cell) = 93.6
- total magnetization (μB/cell) = 0.0
- space-group type = No. 123